DFT (PBE) results for a relaxed structure of NaBe2Cu.

```
4
Lattice="0.000 2.925 2.925 2.925 0.000 2.925 2.925 2.925 0.000" Properties=species:S:1:pos:R:3 pbc="T T T"
Na 0.000 0.000 0.000
Cu 2.925 2.925 2.925
Be 1.462 1.462 1.462
Be 4.387 4.387 4.387
```

The calculation puts the energy above the most stable polymorph in this dataset at 0.030 eV per atom. As for the calculated density: 3.47 g cm⁻³. The electronic total energy comes out at -10.6 eV per cell. Its total magnetization is 0.00 μB/f.u. The value obtained for the energy of formation from the pure elements is 0.57 eV/atom.